First-principles (GGA+U) data for a geometry-optimized Co2Ge2O5 structure, as listed in the Open Quantum Materials Database.

Structure (POSCAR):
```
Co2Ge2O5
1.0
7.265 0.000 0.000
0.000 3.679 0.000
0.000 0.000 3.679
Co Ge O
2 2 5
Cartesian
0.000 0.000 0.000
3.632 0.000 0.000
1.786 1.840 1.840
5.479 1.840 1.840
1.321 1.840 0.000
5.944 1.840 0.000
1.321 0.000 1.840
5.944 0.000 1.840
3.632 1.840 1.840
```

Total DFT energy (no corrections) ... -5.7539 eV/atom